# 1
TiCoSi3 | PBE | relaxed Values from VASP.

Computed properties:
For the total magnetization, the calculation gives 0.501 μB per atom. The calculation puts the formation energy without anion corrections at 1.06 eV/atom. Its total energy is -5.19 eV per atom.

Quantum ESPRESSO input file:
```
&SYSTEM
  ibrav = 0, nat = 5, ntyp = 3
/
ATOMIC_SPECIES
Ti 47.87 Ti.upf
Co 58.93 Co.upf
Si 28.09 Si.upf
ATOMIC_POSITIONS angstrom
Ti 0.0000 0.0000 0.0000
Co 2.3382 2.3382 2.3382
Si 0.0000 0.0000 2.3382
Si 0.0000 2.3382 0.0000
Si 2.3382 0.0000 0.0000
CELL_PARAMETERS angstrom
4.6764 0.0000 0.0000
0.0000 4.6764 0.0000
0.0000 0.0000 4.6764
```


# 2
Li2TcH4 | PBE | relaxed Values from VASP.

Computed properties:
For the total magnetization, the calculation gives 0.000 μB per atom. Its total energy is -4.12 eV per atom. The distance to the lowest polymorph of the same formula comes out at 0.0 meV/atom.

Quantum ESPRESSO input file:
```
&SYSTEM
  ibrav = 0, nat = 7, ntyp = 3
/
ATOMIC_SPECIES
Li 6.94 Li.upf
Tc 98.00 Tc.upf
H 1.01 H.upf
ATOMIC_POSITIONS angstrom
Li 1.2377 0.0000 0.6958
Li 5.9036 0.0000 3.7508
Tc 3.5707 0.0000 2.2233
H 0.1717 0.0000 2.2855
H 3.3319 0.0000 0.4879
H 3.8094 0.0000 3.9587
H 6.9696 0.0000 2.1611
CELL_PARAMETERS angstrom
4.6573 -1.3411 0.0000
4.6573 1.3411 0.0000
-2.1732 0.0000 4.4466
```


# 3
LiCrPt2 | PBE | relaxed Values from VASP.

Computed properties:
For the total magnetization, the calculation gives 0.755 μB per atom. Its calculated formation energy is -0.399 eV per atom. Its total energy is -6.30 eV per atom.

Quantum ESPRESSO input file:
```
&SYSTEM
  ibrav = 0, nat = 4, ntyp = 3
/
ATOMIC_SPECIES
Li 6.94 Li.upf
Cr 52.00 Cr.upf
Pt 195.08 Pt.upf
ATOMIC_POSITIONS angstrom
Li 0.0000 0.0000 0.0000
Cr 2.8113 0.0000 0.0000
Pt 1.4057 1.7982 1.3957
Pt 1.4057 -1.7982 1.3957
CELL_PARAMETERS angstrom
2.8113 -3.5964 0.0000
2.8113 3.5964 0.0000
0.0000 0.0000 2.7914
```


# 4
TbDyMnPd | PBE | relaxed Values from VASP.

Computed properties:
For the total magnetization, the calculation gives 0.840 μB per atom. Its calculated formation energy is -0.261 eV per atom. Its total energy is -6.16 eV per atom.

Quantum ESPRESSO input file:
```
&SYSTEM
  ibrav = 0, nat = 4, ntyp = 4
/
ATOMIC_SPECIES
Tb 158.93 Tb.upf
Dy 162.50 Dy.upf
Mn 54.94 Mn.upf
Pd 106.42 Pd.upf
ATOMIC_POSITIONS angstrom
Tb 0.0000 0.0000 0.0000
Dy 3.5314 3.5314 3.5314
Mn 5.2971 5.2971 5.2971
Pd 1.7657 1.7657 1.7657
CELL_PARAMETERS angstrom
0.0000 3.5314 3.5314
3.5314 0.0000 3.5314
3.5314 3.5314 0.0000
```


# 5
Dy2Ho2Sb5 | PBE | relaxed Values from VASP.

Computed properties:
For the total magnetization, the calculation gives 0.000 μB per atom. The calculation puts the formation energy without anion corrections at -0.84 eV/atom. Its total energy is -5.17 eV per atom.

Quantum ESPRESSO input file:
```
&SYSTEM
  ibrav = 0, nat = 18, ntyp = 3
/
ATOMIC_SPECIES
Dy 162.50 Dy.upf
Ho 164.93 Ho.upf
Sb 121.76 Sb.upf
ATOMIC_POSITIONS angstrom
Dy 7.8193 2.7393 6.8908
Dy 7.8193 1.2481 2.7846
Dy 7.8193 -1.2481 5.4279
Dy 7.8193 -2.7393 1.3217
Ho 2.9820 0.0000 4.1062
Ho 4.8373 0.0000 0.0000
Ho 10.8013 0.0000 0.0000
Ho 12.6566 0.0000 4.1062
Sb 0.0000 0.0000 4.1062
Sb 5.6079 2.8113 1.2076
Sb 5.6079 1.1761 5.3139
Sb 10.0308 2.8113 1.2076
Sb 10.0308 1.1761 5.3139
Sb 7.8193 0.0000 0.0000
Sb 5.6079 -1.1761 2.8986
Sb 5.6079 -2.8113 7.0049
Sb 10.0308 -1.1761 2.8986
Sb 10.0308 -2.8113 7.0049
CELL_PARAMETERS angstrom
7.8193 -3.9873 0.0000
7.8193 3.9873 0.0000
0.0000 0.0000 8.2125
```


# 6
TcMo2Os | PBE | relaxed Values from VASP.

Computed properties:
For the total magnetization, the calculation gives 0.000 μB per atom. Its calculated formation energy is 0.106 eV per atom. Its total energy is -10.71 eV per atom. The distance to the lowest polymorph of the same formula comes out at 0.0 meV/atom.

Quantum ESPRESSO input file:
```
&SYSTEM
  ibrav = 0, nat = 4, ntyp = 3
/
ATOMIC_SPECIES
Tc 98.00 Tc.upf
Mo 95.94 Mo.upf
Os 190.23 Os.upf
ATOMIC_POSITIONS angstrom
Tc 0.0000 0.0000 0.0000
Mo 0.0000 1.9691 1.9568
Mo 1.9691 0.0000 1.9568
Os 1.9691 1.9691 0.0000
CELL_PARAMETERS angstrom
3.9382 0.0000 0.0000
0.0000 3.9382 0.0000
0.0000 0.0000 3.9136
```


# 7
Th3Si4Ir2 | PBE | relaxed Values from VASP.

Computed properties:
For the total magnetization, the calculation gives 0.000 μB per atom. The calculation puts the formation energy without anion corrections at -0.98 eV/atom. Its total energy is -7.84 eV per atom. The distance to the lowest polymorph of the same formula comes out at 0.0 meV/atom.

Quantum ESPRESSO input file:
```
&SYSTEM
  ibrav = 0, nat = 9, ntyp = 3
/
ATOMIC_SPECIES
Th 232.04 Th.upf
Si 28.09 Si.upf
Ir 192.22 Ir.upf
ATOMIC_POSITIONS angstrom
Th 0.0000 0.0000 0.0000
Th 3.1489 0.0000 2.7462
Th 6.3152 0.0000 5.3409
Si -0.0449 0.0000 3.1211
Si 1.5140 0.0000 7.5449
Si 7.9501 0.0000 0.5421
Si 9.5090 0.0000 4.9660
Ir 3.2219 0.0000 5.8550
Ir 6.2422 0.0000 2.2320
CELL_PARAMETERS angstrom
5.5342 -2.1012 0.0000
5.5342 2.1012 0.0000
-1.6042 0.0000 8.0871
```


# 8
TbLuFeAg | PBE | relaxed Values from VASP.

Computed properties:
For the total magnetization, the calculation gives 0.001 μB per atom. Its calculated formation energy is -0.028 eV per atom. Its total energy is -5.14 eV per atom.

Quantum ESPRESSO input file:
```
&SYSTEM
  ibrav = 0, nat = 4, ntyp = 4
/
ATOMIC_SPECIES
Tb 158.93 Tb.upf
Lu 174.97 Lu.upf
Fe 55.84 Fe.upf
Ag 107.87 Ag.upf
ATOMIC_POSITIONS angstrom
Tb 0.0000 0.0000 0.0000
Lu 3.4514 3.4514 3.4514
Fe 5.1771 5.1771 5.1771
Ag 1.7257 1.7257 1.7257
CELL_PARAMETERS angstrom
0.0000 3.4514 3.4514
3.4514 0.0000 3.4514
3.4514 3.4514 0.0000
```


# 9
NaTbSi | PBE | relaxed Values from VASP.

Computed properties:
For the total magnetization, the calculation gives 0.000 μB per atom. The calculation puts the formation energy without anion corrections at -0.21 eV/atom. Its total energy is -4.00 eV per atom.

Quantum ESPRESSO input file:
```
&SYSTEM
  ibrav = 0, nat = 6, ntyp = 3
/
ATOMIC_SPECIES
Na 22.99 Na.upf
Tb 158.93 Tb.upf
Si 28.09 Si.upf
ATOMIC_POSITIONS angstrom
Na 0.0000 0.0000 3.2379
Na 0.0000 0.0000 21.1719
Tb 0.0000 0.0000 9.2691
Tb 0.0000 0.0000 15.1408
Si 0.0000 0.0000 6.3403
Si 0.0000 0.0000 18.0695
CELL_PARAMETERS angstrom
2.4737 1.4282 8.1366
-2.4737 1.4282 8.1366
0.0000 -2.8564 8.1366
```


# 10
RbLiAs2Br | PBE | relaxed Values from VASP.

Computed properties:
For the total magnetization, the calculation gives 0.054 μB per atom. The calculation puts the formation energy without anion corrections at -0.17 eV/atom. Its total energy is -2.94 eV per atom. The distance to the lowest polymorph of the same formula comes out at 0.0 meV/atom.

Quantum ESPRESSO input file:
```
&SYSTEM
  ibrav = 0, nat = 5, ntyp = 4
/
ATOMIC_SPECIES
Rb 85.47 Rb.upf
Li 6.94 Li.upf
As 74.92 As.upf
Br 79.90 Br.upf
ATOMIC_POSITIONS angstrom
Rb 0.0000 0.0000 0.0000
Li 2.3229 2.3229 3.4412
As 0.0000 2.3229 3.4412
As 2.3229 0.0000 3.4412
Br 2.3229 2.3229 0.0000
CELL_PARAMETERS angstrom
4.6458 0.0000 0.0000
0.0000 4.6458 0.0000
0.0000 0.0000 6.8824
```


# 11
MgTaTiPt2 | PBE | relaxed Values from VASP.

Computed properties:
For the total magnetization, the calculation gives 0.000 μB per atom. Its calculated formation energy is 0.593 eV per atom. Its total energy is -6.09 eV per atom.

Quantum ESPRESSO input file:
```
&SYSTEM
  ibrav = 0, nat = 5, ntyp = 4
/
ATOMIC_SPECIES
Mg 24.30 Mg.upf
Ta 180.95 Ta.upf
Ti 47.87 Ti.upf
Pt 195.08 Pt.upf
ATOMIC_POSITIONS angstrom
Mg 0.0000 0.0000 0.0000
Ta 2.3808 2.3808 0.0000
Ti 2.3808 2.3808 2.3140
Pt 0.0000 2.3808 2.3140
Pt 2.3808 0.0000 2.3140
CELL_PARAMETERS angstrom
4.7617 0.0000 0.0000
0.0000 4.7617 0.0000
0.0000 0.0000 4.6280
```


# 12
Sm3Dy6Er2 | PBE | relaxed Values from VASP.

Computed properties:
For the total magnetization, the calculation gives 0.000 μB per atom. Its calculated formation energy is 0.281 eV per atom. Its total energy is -4.35 eV per atom.

Quantum ESPRESSO input file:
```
&SYSTEM
  ibrav = 0, nat = 11, ntyp = 3
/
ATOMIC_SPECIES
Sm 150.36 Sm.upf
Dy 162.50 Dy.upf
Er 167.26 Er.upf
ATOMIC_POSITIONS angstrom
Sm 0.0000 0.0000 0.0000
Sm 0.0000 0.0000 6.6828
Sm 0.0000 0.0000 26.4876
Dy 2.3681 0.0000 3.9923
Dy 0.0000 0.0000 10.1247
Dy 2.3681 0.0000 12.5929
Dy 0.0000 2.3681 3.9923
Dy 0.0000 0.0000 23.0457
Dy 0.0000 2.3681 12.5929
Er 0.0000 0.0000 15.0604
Er 0.0000 0.0000 18.1100
CELL_PARAMETERS angstrom
-2.3681 2.3681 16.5852
2.3681 -2.3681 16.5852
2.3681 2.3681 -16.5852
```


# 13
NdDy3Th2Sb6 | PBE | relaxed Values from VASP.

Computed properties:
For the total magnetization, the calculation gives 0.000 μB per atom. The calculation puts the formation energy without anion corrections at -1.08 eV/atom. Its total energy is -5.92 eV per atom.

Quantum ESPRESSO input file:
```
&SYSTEM
  ibrav = 0, nat = 12, ntyp = 4
/
ATOMIC_SPECIES
Nd 144.24 Nd.upf
Dy 162.50 Dy.upf
Th 232.04 Th.upf
Sb 121.76 Sb.upf
ATOMIC_POSITIONS angstrom
Nd 0.0000 0.0000 0.0000
Dy -0.9989 0.0000 4.3256
Dy 6.1415 0.0000 1.4405
Dy 11.2289 0.0000 7.2106
Th 5.1423 0.0000 5.7868
Th 12.2282 0.0000 2.8644
Sb 2.0249 0.0000 5.0847
Sb 3.1162 0.0000 0.6798
Sb 9.1382 0.0000 2.2122
Sb 8.2323 0.0000 6.4390
Sb 14.2543 0.0000 7.9713
Sb 15.3456 0.0000 3.5665
CELL_PARAMETERS angstrom
9.6841 -2.2292 0.0000
9.6841 2.2292 0.0000
-1.9978 0.0000 8.6511
```


# 14
ScSiPb2 | PBE | relaxed Values from VASP.

Computed properties:
For the total magnetization, the calculation gives 0.000 μB per atom. The calculation puts the formation energy without anion corrections at -0.14 eV/atom. Its total energy is -4.94 eV per atom.

Quantum ESPRESSO input file:
```
&SYSTEM
  ibrav = 0, nat = 4, ntyp = 3
/
ATOMIC_SPECIES
Sc 44.96 Sc.upf
Si 28.09 Si.upf
Pb 207.20 Pb.upf
ATOMIC_POSITIONS angstrom
Sc 0.0000 0.0000 0.0000
Si 1.6448 2.0140 0.9399
Pb 0.0404 2.0140 5.7554
Pb 1.6559 0.0000 3.0396
CELL_PARAMETERS angstrom
3.2991 0.0000 0.0000
0.0000 4.0281 0.0000
-1.6169 0.0000 7.7880
```


# 15
ZrAlP2S | PBE | relaxed Values from VASP.

Computed properties:
For the total magnetization, the calculation gives 0.000 μB per atom. The calculation puts the formation energy without anion corrections at 0.13 eV/atom. Its total energy is -5.32 eV per atom. The distance to the lowest polymorph of the same formula comes out at 0.0 meV/atom.

Quantum ESPRESSO input file:
```
&SYSTEM
  ibrav = 0, nat = 5, ntyp = 4
/
ATOMIC_SPECIES
Zr 91.22 Zr.upf
Al 26.98 Al.upf
P 30.97 P.upf
S 32.06 S.upf
ATOMIC_POSITIONS angstrom
Zr 0.0000 0.0000 0.0000
Al 2.2893 2.2893 2.2943
P 0.0000 2.2893 2.2943
P 2.2893 0.0000 2.2943
S 2.2893 2.2893 0.0000
CELL_PARAMETERS angstrom
4.5787 0.0000 0.0000
0.0000 4.5787 0.0000
0.0000 0.0000 4.5885
```


# 16
BeAl2Tc | PBE | relaxed Values from VASP.

Computed properties:
For the total magnetization, the calculation gives 0.000 μB per atom. Its calculated formation energy is -0.295 eV per atom. Its total energy is -5.69 eV per atom.

Quantum ESPRESSO input file:
```
&SYSTEM
  ibrav = 0, nat = 4, ntyp = 3
/
ATOMIC_SPECIES
Be 9.01 Be.upf
Al 26.98 Al.upf
Tc 98.00 Tc.upf
ATOMIC_POSITIONS angstrom
Be 0.0000 0.0000 0.0000
Al 1.7051 0.0000 1.9288
Al 0.0000 1.9404 2.0287
Tc 0.0000 0.0000 3.9575
CELL_PARAMETERS angstrom
-1.7051 1.9404 3.9575
1.7051 -1.9404 3.9575
1.7051 1.9404 -3.9575
```


# 17
MnP4Au | PBE | relaxed Values from VASP.

Computed properties:
For the total magnetization, the calculation gives 0.750 μB per atom. Its calculated formation energy is 0.619 eV per atom. Its total energy is -5.06 eV per atom.

Quantum ESPRESSO input file:
```
&SYSTEM
  ibrav = 0, nat = 6, ntyp = 3
/
ATOMIC_SPECIES
Mn 54.94 Mn.upf
P 30.97 P.upf
Au 196.97 Au.upf
ATOMIC_POSITIONS angstrom
Mn 0.0000 0.0000 0.0000
P 4.5162 2.7460 2.7460
P 2.7460 4.5162 2.7460
P 2.7460 2.7460 4.5162
P 4.5162 4.5162 4.5162
Au 1.8155 1.8155 1.8155
CELL_PARAMETERS angstrom
0.0000 3.6311 3.6311
3.6311 0.0000 3.6311
3.6311 3.6311 0.0000
```


# 18
AlCdIn3 | PBE | relaxed Values from VASP.

Computed properties:
For the total magnetization, the calculation gives 0.000 μB per atom. Its calculated formation energy is 0.576 eV per atom. Its total energy is -2.00 eV per atom.

Quantum ESPRESSO input file:
```
&SYSTEM
  ibrav = 0, nat = 5, ntyp = 3
/
ATOMIC_SPECIES
Al 26.98 Al.upf
Cd 112.41 Cd.upf
In 114.82 In.upf
ATOMIC_POSITIONS angstrom
Al 0.0000 0.0000 0.0000
Cd 2.7485 2.7485 2.7485
In 0.0000 2.7485 2.7485
In 2.7485 0.0000 2.7485
In 2.7485 2.7485 0.0000
CELL_PARAMETERS angstrom
5.4970 0.0000 0.0000
0.0000 5.4970 0.0000
0.0000 0.0000 5.4970
```


# 19
Ho5Er2Pd4 | PBE | relaxed Values from VASP.

Computed properties:
For the total magnetization, the calculation gives 0.000 μB per atom. Its calculated formation energy is -0.517 eV per atom. Its total energy is -5.32 eV per atom.

Quantum ESPRESSO input file:
```
&SYSTEM
  ibrav = 0, nat = 11, ntyp = 3
/
ATOMIC_SPECIES
Ho 164.93 Ho.upf
Er 167.26 Er.upf
Pd 106.42 Pd.upf
ATOMIC_POSITIONS angstrom
Ho 0.0000 0.0000 0.0000
Ho 5.4184 0.0000 1.9331
Ho 11.0882 0.0000 3.8492
Ho 26.5910 0.0000 0.0050
Ho 32.2608 0.0000 1.9210
Er 15.5248 0.0000 3.8491
Er 22.1544 0.0000 0.0051
Pd 8.3912 0.0000 1.9322
Pd 17.4857 0.0000 1.9238
Pd 20.1935 0.0000 1.9304
Pd 29.2880 0.0000 1.9220
CELL_PARAMETERS angstrom
18.8403 -1.9593 0.0000
18.8403 1.9593 0.0000
-0.0014 0.0000 3.8542
```


# 20
LaCeHgOs | PBE | relaxed Values from VASP.

Computed properties:
For the total magnetization, the calculation gives 0.094 μB per atom. Its calculated formation energy is -0.113 eV per atom. Its total energy is -5.71 eV per atom. The distance to the lowest polymorph of the same formula comes out at 130.8 meV/atom.

Quantum ESPRESSO input file:
```
&SYSTEM
  ibrav = 0, nat = 4, ntyp = 4
/
ATOMIC_SPECIES
La 138.91 La.upf
Ce 140.12 Ce.upf
Hg 200.59 Hg.upf
Os 190.23 Os.upf
ATOMIC_POSITIONS angstrom
La 0.0000 0.0000 0.0000
Ce 3.6733 3.6733 3.6733
Hg 1.8366 1.8366 1.8366
Os 5.5099 5.5099 5.5099
CELL_PARAMETERS angstrom
0.0000 3.6733 3.6733
3.6733 0.0000 3.6733
3.6733 3.6733 0.0000
```